VASP calculation (GGA-PBE) on a geometry-optimized Dy2AlCo12B3 structure.

Computed properties:
* formation enthalpy at 0 K: 238.9 kJ/mol of formula units
* spin magnetization: 0.59 μB per atom
* symmetry: R-3m
* electronic total energy: -6.432 eV per atom
* calculated volume: 229.29 Å³/cell

Unit cell a=6.7916 b=6.7916 c=6.7916 alpha=61.56 beta=61.56 gamma=61.56
Site moments in Bohr magnetons follow the coordinates.
Sites, in units of the cell vectors:
Co  0.4669  0.8442  0.8442  1.29
Co  0.1558  0.1558  0.5331  1.29
Co  0.8834  0.2600  0.2600  0.66
Co  0.7400  0.7400  0.1166  0.66
Co  0.7400  0.1166  0.7400  0.66
Co  0.8442  0.4669  0.8442  1.29
Co  0.1166  0.7400  0.7400  0.66
Co  0.1558  0.5331  0.1558  1.29
Co  0.8442  0.8442  0.4669  1.29
Co  0.2600  0.8834  0.2600  0.66
Co  0.2600  0.2600  0.8834  0.66
Co  0.5331  0.1558  0.1558  1.29
B  0.0000  0.0000  0.5000  -0.07
B  0.0000  0.5000  0.0000  -0.07
B  0.5000  0.0000  0.0000  -0.07
Al  0.0000  0.0000  0.0000  -0.03
Dy  0.5886  0.5886  0.5886  -0.28
Dy  0.4114  0.4114  0.4114  -0.28